[1]
Compound: CaAl2Pt5
Source: the Alexandria database
Functional: PBE
Structure: optimized geometry

Cell: 3.865 7.156 10.109 Å, 90.00 90.00 90.00°
Space group Immm (No. 71)
Symmetry-distinct sites (fractional):
Ca1 0.000 0.000 0.000
Al1 0.000 0.500 0.242
Pt1 0.000 0.200 0.355
Pt2 0.000 0.500 0.000

The calculation puts the final energy at -5.831 eV per atom. The value obtained for the density of states at the Fermi level is 4.393 states/eV/cell.

---

[2]
Compound: In2TcSe
Source: the Alexandria database
Functional: PBE
Structure: optimized geometry

Cell: 4.213 4.213 9.093 Å, 90.00 90.00 90.00°
Space group I-4m2 (No. 119)
Symmetry-distinct sites (fractional):
In1 0.000 0.000 0.000
In2 0.000 0.500 0.250
Tc1 0.000 0.000 0.500
Se1 0.000 0.500 0.750

Its formation energy without anion corrections is 0.4272 eV/atom. The value obtained for the density of states at the Fermi level is 5.572 states/eV/cell.

---

What did the second record say?
Compound: In2TcSe
Source: the Alexandria database
Functional: PBE
Structure: optimized geometry

Cell: 4.213 4.213 9.093 Å, 90.00 90.00 90.00°
Space group I-4m2 (No. 119)
Symmetry-distinct sites (fractional):
In1 0.000 0.000 0.000
In2 0.000 0.500 0.250
Tc1 0.000 0.000 0.500
Se1 0.000 0.500 0.750

Its formation energy without anion corrections is 0.4272 eV/atom. The value obtained for the density of states at the Fermi level is 5.572 states/eV/cell.

---

Copy entry 2 word for word.
Compound: In2TcSe
Source: the Alexandria database
Functional: PBE
Structure: optimized geometry

Cell: 4.213 4.213 9.093 Å, 90.00 90.00 90.00°
Space group I-4m2 (No. 119)
Symmetry-distinct sites (fractional):
In1 0.000 0.000 0.000
In2 0.000 0.500 0.250
Tc1 0.000 0.000 0.500
Se1 0.000 0.500 0.750

Its formation energy without anion corrections is 0.4272 eV/atom. The value obtained for the density of states at the Fermi level is 5.572 states/eV/cell.